# 1
A relaxed structure of CdB2Br8. Source: Alexandria, functional GGA-PBE.

a = 6.1123 Å, b = 7.9991 Å, c = 7.9991 Å
α = 80.90°, β = 84.18°, γ = 84.18°
Element x y z (fractional)
Cd1 0.0000 0.0000 0.0000
Br1 0.2475 0.9580 0.2792
Br2 0.2022 0.3584 0.3584
Br3 0.7525 0.7208 0.0420
Br4 0.7978 0.6416 0.6416
Br5 0.7525 0.0420 0.7208
Br6 0.6754 0.2009 0.2009
Br7 0.2475 0.2792 0.9580
Br8 0.3246 0.7991 0.7991
B1 0.3410 0.2021 0.2021
B2 0.6590 0.7979 0.7979

DOS(E_F) in states/eV per cell: 0.00
Total moment in μB per formula unit: 0.00
Final energy in eV for the cell shown: -33.56
Formation energy from raw total energies in eV/atom: -0.54
ΔE to the lowest computed polymorph in meV per atom: 7

# 2
A relaxed structure of LiAc2H3Pd12. Source: Alexandria, functional GGA-PBE.

a = 7.5563 Å, b = 7.5563 Å, c = 7.5563 Å
α = 57.56°, β = 57.56°, γ = 57.56°
Element x y z (fractional)
Pd1 0.5590 0.1408 0.1408
Pd2 0.1408 0.1408 0.5590
Pd3 0.2770 0.8988 0.2770
Pd4 0.7230 0.1012 0.7230
Pd5 0.1408 0.5590 0.1408
Pd6 0.2770 0.2770 0.8988
Pd7 0.8592 0.4410 0.8592
Pd8 0.1012 0.7230 0.7230
Pd9 0.8592 0.8592 0.4410
Pd10 0.7230 0.7230 0.1012
Pd11 0.8988 0.2770 0.2770
Pd12 0.4410 0.8592 0.8592
Li1 0.0000 0.0000 0.0000
Ac1 0.4002 0.4002 0.4002
Ac2 0.5998 0.5998 0.5998
H1 0.0000 0.5000 0.0000
H2 0.0000 0.0000 0.5000
H3 0.5000 0.0000 0.0000

DOS(E_F) in states/eV per cell: 13.14
Total moment in μB per formula unit: 0.00
Final energy in eV for the cell shown: -88.38

# 3
A relaxed structure of KGdCO3F2. Source: Alexandria, functional GGA-PBE.

a = 12.4039 Å, b = 11.5846 Å, c = 6.6766 Å
α = 80.73°, β = 67.18°, γ = 32.09°
Element x y z (fractional)
K1 0.6677 0.6677 0.8323
K2 0.4177 0.4177 0.5823
K3 0.8323 0.8323 0.6677
K4 0.5823 0.5823 0.4177
C1 0.3722 0.3722 0.1278
C2 0.8778 0.8778 0.1222
C3 0.1222 0.1222 0.8778
C4 0.1278 0.1278 0.3722
F1 0.0982 0.4346 0.6933
F2 0.5567 0.4761 0.1518
F3 0.6933 0.7739 0.0982
F4 0.7739 0.6933 0.4346
F5 0.4761 0.5567 0.8154
F6 0.1518 0.8154 0.5567
F7 0.4346 0.0982 0.7739
F8 0.8154 0.1518 0.4761
O1 0.0110 0.6874 0.9925
O2 0.9374 0.9374 0.0626
O3 0.0626 0.0626 0.9374
O4 0.9925 0.3091 0.0110
O5 0.5626 0.2390 0.9409
O6 0.2575 0.9409 0.2390
O7 0.3091 0.9925 0.6874
O8 0.1874 0.1874 0.3126
O9 0.6874 0.0110 0.3091
O10 0.3126 0.3126 0.1874
O11 0.9409 0.2575 0.5626
O12 0.2390 0.5626 0.2575
Gd1 0.0677 0.4323 0.0677
Gd2 0.1823 0.8177 0.1823
Gd3 0.4323 0.0677 0.4323
Gd4 0.8177 0.1823 0.8177

DOS(E_F) in states/eV per cell: 0.00
Total moment in μB per formula unit: 6.97
Final energy in eV for the cell shown: -259.00
Formation energy from raw total energies in eV/atom: -2.72

# 4
A relaxed structure of NbSb2SI. Source: Alexandria, functional GGA-PBE.

a = 5.1135 Å, b = 5.1135 Å, c = 5.4240 Å
α = 90.00°, β = 90.00°, γ = 90.00°
Element x y z (fractional)
Nb1 0.5000 0.5000 0.5000
I1 0.0000 0.0000 0.5000
Sb1 0.0000 0.5000 0.0000
Sb2 0.5000 0.0000 0.0000
S1 0.0000 0.0000 0.0000

DOS(E_F) in states/eV per cell: 4.00
Total moment in μB per formula unit: 2.41
Final energy in eV for the cell shown: -19.10
Formation energy from raw total energies in eV/atom: 0.98
ΔE to the lowest computed polymorph in meV per atom: 422

# 5
A relaxed structure of Nb3RuRh2. Source: Alexandria, functional GGA-PBE.

a = 2.8294 Å, b = 4.8880 Å, c = 7.9662 Å
α = 107.87°, β = 100.23°, γ = 90.00°
Element x y z (fractional)
Rh1 0.3421 0.3421 0.6842
Rh2 0.6579 0.6579 0.3158
Ru1 0.0000 0.0000 0.0000
Nb1 0.8256 0.8256 0.6512
Nb2 0.1744 0.1744 0.3488
Nb3 0.0000 0.5000 0.0000

Formation energy in meV/atom: 95
DOS(E_F) in states/eV per cell: 6.08
Total moment in μB per formula unit: 0.00
Final energy in eV for the cell shown: -53.62